No. 1
VASP calculation (PBEsol) on a relaxed structure of FeRuSe2.

The structure in POSCAR format:
```
FeRuSe2
1.0
3.034 0.000 0.000
0.000 3.034 0.000
0.000 0.000 6.128
Se Ru Fe
2 1 1
Direct
0.000 0.000 0.242
0.000 0.000 0.758
0.500 0.500 0.500
0.500 0.500 0.000
```

ΔE_f (raw)   0.17 eV/atom
Calculated density   9.3 g cm⁻³
Fermi-level density of states   3.9 states/eV/cell
Total magnetic moment   2.03 μB/f.u.
Crystal system   tetragonal

***

No. 2
VASP calculation (PBEsol) on a relaxed structure of MnSi2Cl.

The structure in POSCAR format:
```
MnSi2Cl
1.0
2.743 0.000 0.000
0.000 4.109 0.000
-1.371 -2.055 5.469
Mn Cl Si
1 1 2
Direct
0.000 0.500 0.000
0.500 0.000 0.000
0.702 0.702 0.405
0.298 0.298 0.595
```

ΔE_f (raw)   0.21 eV/atom
Calculated density   3.9 g cm⁻³
Fermi-level density of states   1.9 states/eV/cell
Total magnetic moment   2.96 μB/f.u.
Crystal system   orthorhombic

***

No. 3
VASP calculation (PBEsol) on a relaxed structure of YZnSe.

The structure in POSCAR format:
```
YZnSe
1.0
-0.027 1.426 3.222
-3.366 0.942 -0.445
0.232 -5.515 0.517
Zn Y Se
1 1 1
Direct
0.657 0.657 0.314
0.339 0.339 0.679
0.004 0.004 0.007
```

ΔE_f (raw)   -0.76 eV/atom
Calculated density   6.3 g cm⁻³
Fermi-level density of states   2.6 states/eV/cell
Total magnetic moment   0.01 μB/f.u.
Crystal system   tetragonal

***

No. 4
VASP calculation (PBEsol) on a relaxed structure of Li2ZnTc.

The structure in POSCAR format:
```
Li2ZnTc
1.0
-1.073 -2.021 1.040
2.211 0.220 1.174
-3.809 5.210 6.196
Tc Li Zn
1 2 1
Direct
0.500 0.500 0.500
0.000 0.000 0.748
0.000 0.000 0.252
0.500 0.500 0.000
```

Calculated density   5.4 g cm⁻³
Fermi-level density of states   1.8 states/eV/cell
Total magnetic moment   0.00 μB/f.u.
Crystal system   orthorhombic
Calculated formation energy   0.0911 eV per atom